K2MgMnH4I4O14 after structural relaxation. Source: the Alexandria database, functional PBE+U.

Cell and atoms, written as POSCAR:
```
K2MgMnH4I4O14
1.0
7.964 0.000 0.000
-3.904 7.060 0.000
-3.266 -1.931 7.265
K Mg Mn H I O
2 1 1 4 4 14
Cartesian
0.000 0.000 0.000
1.919 3.452 0.090
3.680 3.799 2.829
-1.924 5.681 4.144
-2.587 1.950 4.620
-3.267 3.729 5.235
2.721 1.174 3.664
4.050 0.581 4.390
-1.489 -0.378 3.451
-1.907 3.704 0.663
4.083 0.066 0.397
0.354 2.825 4.105
-2.523 1.043 5.005
-3.018 3.875 4.291
-0.550 2.686 1.328
-2.070 5.102 1.832
0.341 0.124 3.808
-3.311 3.480 7.009
-0.730 -1.105 7.119
0.096 4.645 4.134
2.056 -1.270 6.434
2.047 2.724 3.332
3.219 0.330 3.836
0.772 2.611 5.866
4.575 2.770 1.329
2.922 5.407 1.974
```

Properties
total DFT energy (no corrections): -4.8305 eV/atom
DOS at the Fermi energy: 0.000 states/eV per atom